(1)
Here is a geometry-optimized CsNaAg2Au structure from Alexandria. Energies are from PBE.

Cell lengths 5.455, 5.455, 5.459 Å; angles 90.00, 90.00, 90.00 degrees
Fractional coordinates of all 5 atoms:
Na1 0.000 0.000 0.500
Au1 0.000 0.000 0.000
Cs1 0.500 0.500 0.500
Ag1 0.500 0.000 0.000
Ag2 0.000 0.500 0.000

Output
Its spin magnetization is 0.0 μB/f.u. The energy comes out at -10.977 eV per cell.

(2)
Here is a geometry-optimized Cs2NaAgAu structure from Alexandria. Energies are from PBE.

Cell lengths 6.971, 6.971, 5.380 Å; angles 90.00, 90.00, 90.00 degrees
Fractional coordinates of all 5 atoms:
Cs1 0.000 0.500 0.000
Au1 0.000 0.000 0.000
Ag1 0.000 0.000 0.500
Na1 0.500 0.500 0.500
Cs2 0.500 0.000 0.000

Output
For the distance to the lowest polymorph of the same formula, the calculation gives 5 meV/atom. Its spin magnetization is 0.0 μB/f.u.

(3)
Here is a geometry-optimized Cs2NaAgAu structure from Alexandria. Energies are from PBE.

Cell lengths 6.849, 6.849, 5.683 Å; angles 90.00, 90.00, 90.00 degrees
Fractional coordinates of all 5 atoms:
Au1 0.000 0.000 0.000
Cs1 0.500 0.000 0.000
Cs2 0.000 0.500 0.000
Na1 0.000 0.000 0.500
Ag1 0.500 0.500 0.500

Output
For the distance to the lowest polymorph of the same formula, the calculation gives 0 meV/atom. Its spin magnetization is 0.0 μB/f.u.

(4)
Here is a geometry-optimized CsNa2AgAu structure from Alexandria. Energies are from PBE.

Cell lengths 5.711, 5.711, 5.507 Å; angles 90.00, 90.00, 90.00 degrees
Fractional coordinates of all 5 atoms:
Ag1 0.000 0.000 0.500
Na1 0.500 0.000 0.000
Cs1 0.500 0.500 0.500
Au1 0.000 0.000 0.000
Na2 0.000 0.500 0.000

Output
For the distance to the lowest polymorph of the same formula, the calculation gives 0 meV/atom. Its spin magnetization is 0.0 μB/f.u.

Calculated density, respectively: 5.81 3.77 3.70 4.47 Mg/m³.